# Ag3PdBr6 | the Alexandria database | PBE-GGA | optimized geometry
data_Ag3PdBr6
_space_group_name_H-M_alt 'P 1 21/c 1'
_space_group_IT_number 14
_space_group_name_Hall '-P 2ybc'
_cell_length_a 7.0350
_cell_length_b 7.0627
_cell_length_c 12.8108
_cell_angle_alpha 90.00
_cell_angle_beta 119.16
_cell_angle_gamma 90.00
loop_
_atom_site_label
_atom_site_fract_x
_atom_site_fract_y
_atom_site_fract_z
Ag1 0.0000 0.0000 0.0000
Ag2 0.1417 0.1263 0.6637
Pd1 0.5000 0.0000 0.5000
Br1 0.1677 0.0453 0.2925
Br2 0.2574 0.6978 0.0757
Br3 0.3961 0.2042 0.0725
# Density of states at the Fermi level = 0.411 states/eV/atom
# Energy above the most stable polymorph in this dataset = 0.092 eV/f.u.
# Volume = 27.79 Å³ per atom
# DFT total energy = -2.63 eV/atom

# Ag3PdBr8 | the Alexandria database | PBE-GGA | optimized geometry
data_Ag3PdBr8
_space_group_name_H-M_alt 'C 1 2/m 1'
_space_group_IT_number 12
_space_group_name_Hall '-C 2y'
_cell_length_a 14.1196
_cell_length_b 8.2213
_cell_length_c 7.8636
_cell_angle_alpha 90.00
_cell_angle_beta 123.00
_cell_angle_gamma 90.00
loop_
_atom_site_label
_atom_site_fract_x
_atom_site_fract_y
_atom_site_fract_z
Ag1 0.0000 0.0000 0.0000
Ag2 0.2500 0.2500 0.5000
Pd1 0.0000 0.5000 0.0000
Br1 0.9999 0.2863 0.2284
Br2 0.2119 0.5000 0.1985
Br3 0.2262 0.0000 0.2597
# Density of states at the Fermi level = 1.096 states/eV/atom
# Volume = 31.90 Å³ per atom
# DFT total energy = -2.49 eV/atom

# Ag2Pd2Br | the Alexandria database | PBE-GGA | optimized geometry
data_Ag2Pd2Br
_space_group_name_H-M_alt 'I 4/m m m'
_space_group_IT_number 139
_space_group_name_Hall '-I 4 2'
_cell_length_a 3.8672
_cell_length_b 3.8672
_cell_length_c 13.4044
_cell_angle_alpha 90.00
_cell_angle_beta 90.00
_cell_angle_gamma 90.00
loop_
_atom_site_label
_atom_site_fract_x
_atom_site_fract_y
_atom_site_fract_z
Ag1 0.0000 0.5000 0.2500
Pd1 0.0000 0.0000 0.1005
Br1 0.0000 0.0000 0.5000
# Density of states at the Fermi level = 0.556 states/eV/atom
# Energy above the most stable polymorph in this dataset = 0.809 eV/f.u.
# Volume = 20.05 Å³ per atom
# DFT total energy = -3.26 eV/atom

# AgPdBr2 | the Alexandria database | PBE-GGA | optimized geometry
data_AgPdBr2
_space_group_name_H-M_alt 'F m -3 m'
_space_group_IT_number 225
_space_group_name_Hall '-F 4 2 3'
_cell_length_a 7.0004
_cell_length_b 7.0004
_cell_length_c 7.0004
_cell_angle_alpha 90.00
_cell_angle_beta 90.00
_cell_angle_gamma 90.00
loop_
_atom_site_label
_atom_site_fract_x
_atom_site_fract_y
_atom_site_fract_z
Ag1 0.0000 0.0000 0.0000
Pd1 0.0000 0.0000 0.5000
Br1 0.2500 0.2500 0.2500
# Density of states at the Fermi level = 0.704 states/eV/atom
# Energy above the most stable polymorph in this dataset = 0.808 eV/f.u.
# Volume = 21.44 Å³ per atom
# DFT total energy = -2.69 eV/atom

Please write out number 1 again, unchanged.
# Ag3PdBr6 | the Alexandria database | PBE-GGA | optimized geometry
data_Ag3PdBr6
_space_group_name_H-M_alt 'P 1 21/c 1'
_space_group_IT_number 14
_space_group_name_Hall '-P 2ybc'
_cell_length_a 7.0350
_cell_length_b 7.0627
_cell_length_c 12.8108
_cell_angle_alpha 90.00
_cell_angle_beta 119.16
_cell_angle_gamma 90.00
loop_
_atom_site_label
_atom_site_fract_x
_atom_site_fract_y
_atom_site_fract_z
Ag1 0.0000 0.0000 0.0000
Ag2 0.1417 0.1263 0.6637
Pd1 0.5000 0.0000 0.5000
Br1 0.1677 0.0453 0.2925
Br2 0.2574 0.6978 0.0757
Br3 0.3961 0.2042 0.0725
# Density of states at the Fermi level = 0.411 states/eV/atom
# Energy above the most stable polymorph in this dataset = 0.092 eV/f.u.
# Volume = 27.79 Å³ per atom
# DFT total energy = -2.63 eV/atom